An optimized crystal structure of ScReW2, computed with PBE.

Calculated values
magnetization = 0.00 μB per cell
ΔE to the lowest computed polymorph = 322 meV per atom
DOS at the Fermi energy = 7.0 states/eV/cell
energy = -43.47 eV per formula unit
crystal system = orthorhombic

Cell and atoms, written as CIF:
```
data_ScReW2
_chemical_formula_sum 'Sc2 Re2 W4'
_cell_length_a 5.3536
_cell_length_b 9.2449
_cell_length_c 2.7119
_cell_angle_alpha 90.00
_cell_angle_beta 90.00
_cell_angle_gamma 90.00
_space_group_name_H-M_alt 'C m m m'
_space_group_IT_number 65
_space_group_name_Hall '-C 2 2'
loop_
_atom_site_label
_atom_site_fract_x
_atom_site_fract_y
_atom_site_fract_z
Sc1 0.0000 0.0000 0.0000
Re1 0.0000 0.5000 0.0000
W1 0.2500 0.2500 0.5000
```

---

An optimized crystal structure of Ag2Pt7, computed with PBE.

Calculated values
magnetization = 0.00 μB per cell
DOS at the Fermi energy = 10.0 states/eV/cell
energy = -47.93 eV per formula unit
crystal system = trigonal

Cell and atoms, written as CIF:
```
data_Ag2Pt7
_chemical_formula_sum 'Ag2 Pt7'
_cell_length_a 4.8582
_cell_length_b 4.8582
_cell_length_c 7.0389
_cell_angle_alpha 90.00
_cell_angle_beta 90.00
_cell_angle_gamma 120.00
_space_group_name_H-M_alt 'P -3 1 m'
_space_group_IT_number 162
_space_group_name_Hall '-P 3 2'
loop_
_atom_site_label
_atom_site_fract_x
_atom_site_fract_y
_atom_site_fract_z
Ag1 0.3333 0.6667 0.0000
Pt1 0.0000 0.0000 0.0000
Pt2 0.0000 0.3294 0.6664
```

---

An optimized crystal structure of Pr2FeCuH6, computed with PBE.

Calculated values
magnetization = 1.80 μB per cell
DOS at the Fermi energy = 7.4 states/eV/cell
energy = -45.56 eV per formula unit
crystal system = orthorhombic

Cell and atoms, written as CIF:
```
data_Pr2FeCuH6
_chemical_formula_sum 'Pr4 Fe2 Cu2 H12'
_cell_length_a 5.2048
_cell_length_b 5.2121
_cell_length_c 7.4113
_cell_angle_alpha 90.00
_cell_angle_beta 90.00
_cell_angle_gamma 90.00
_space_group_name_H-M_alt 'I m m m'
_space_group_IT_number 71
_space_group_name_Hall '-I 2 2'
loop_
_atom_site_label
_atom_site_fract_x
_atom_site_fract_y
_atom_site_fract_z
Pr1 0.0000 0.0000 0.2499
Fe1 0.0000 0.5000 0.0000
Cu1 0.0000 0.5000 0.5000
H1 0.0000 0.5000 0.2277
H2 0.2295 0.2721 0.0000
```

---

An optimized crystal structure of Fe2CoW, computed with PBE.

Calculated values
magnetization = 16.93 μB per cell
ΔE to the lowest computed polymorph = 636 meV per atom
DOS at the Fermi energy = 19.9 states/eV/cell
energy = -34.35 eV per formula unit
crystal system = tetragonal

Cell and atoms, written as CIF:
```
data_Fe2CoW
_chemical_formula_sum 'Fe8 Co4 W4'
_cell_length_a 6.5370
_cell_length_b 6.5370
_cell_length_c 4.9195
_cell_angle_alpha 90.00
_cell_angle_beta 90.00
_cell_angle_gamma 90.00
_space_group_name_H-M_alt 'I -4 2 d'
_space_group_IT_number 122
_space_group_name_Hall 'I -4 2bw'
loop_
_atom_site_label
_atom_site_fract_x
_atom_site_fract_y
_atom_site_fract_z
Fe1 0.2330 0.7500 0.1250
Co1 0.0000 0.0000 0.0000
W1 0.0000 0.0000 0.5000
```

---

An optimized crystal structure of NiHgS2, computed with PBE.

Calculated values
ΔE_f (raw) = 0.2665 eV per atom
magnetization = 2.18 μB per cell
DOS at the Fermi energy = 18.4 states/eV/cell
energy = -13.27 eV per formula unit
crystal system = trigonal

Cell and atoms, written as CIF:
```
data_NiHgS2
_chemical_formula_sum 'Ni3 Hg3 S6'
_cell_length_a 3.9585
_cell_length_b 3.9585
_cell_length_c 21.0595
_cell_angle_alpha 90.00
_cell_angle_beta 90.00
_cell_angle_gamma 120.00
_space_group_name_H-M_alt 'R -3 m'
_space_group_IT_number 166
_space_group_name_Hall '-R 3 2"'
loop_
_atom_site_label
_atom_site_fract_x
_atom_site_fract_y
_atom_site_fract_z
Ni1 0.0000 0.0000 0.0000
Hg1 0.0000 0.0000 0.5000
S1 0.0000 0.0000 0.0979
```

---

An optimized crystal structure of MgNiMo, computed with PBE.

Calculated values
magnetization = 0.00 μB per cell
ΔE to the lowest computed polymorph = 47 meV per atom
DOS at the Fermi energy = 6.6 states/eV/cell
energy = -18.04 eV per formula unit
crystal system = orthorhombic

Cell and atoms, written as CIF:
```
data_MgNiMo
_chemical_formula_sum 'Mg4 Ni4 Mo4'
_cell_length_a 7.4521
_cell_length_b 3.1729
_cell_length_c 7.9781
_cell_angle_alpha 90.00
_cell_angle_beta 90.00
_cell_angle_gamma 90.00
_space_group_name_H-M_alt 'P n m a'
_space_group_IT_number 62
_space_group_name_Hall '-P 2ac 2n'
loop_
_atom_site_label
_atom_site_fract_x
_atom_site_fract_y
_atom_site_fract_z
Mg1 0.0482 0.2500 0.1602
Ni1 0.2426 0.2500 0.8480
Mo1 0.1153 0.2500 0.5525
```

---

> Which value of magnetization does entry 1 give?

0.00 μB per cell